# 1
Computed, not measured: a relaxed CdPt2Rh crystal at the GGA-PBE level of DFT.

Results
The calculation puts the total magnetization at 0.00 Bohr magnetons per cell. The space group is I-42d. As for the total energy: -4.888 eV/atom.

a b c (Å): 3.8810 3.8810 9.7897
angles (deg): 78.57 78.57 90.00
Element x y z (fractional)
Pt1 0.6100 0.1250 0.2500
Pt2 0.8750 0.8600 0.7500
Pt3 0.1400 0.6250 0.2500
Pt4 0.3750 0.3900 0.7500
Cd1 0.0000 0.0000 0.0000
Cd2 0.7500 0.2500 0.5000
Rh1 0.5000 0.5000 0.0000
Rh2 0.2500 0.7500 0.5000


# 2
Computed, not measured: a relaxed CdPt2Rh crystal at the GGA-PBE level of DFT.

Results
The calculation puts the total magnetization at 1.19 Bohr magnetons per cell. The space group is R3m. As for the total energy: -5.121 eV/atom.

a b c (Å): 9.4271 9.4271 9.4271
angles (deg): 17.30 17.30 17.30
Element x y z (fractional)
Pt1 0.2481 0.2481 0.2481
Pt2 0.9987 0.9987 0.9987
Cd1 0.7514 0.7514 0.7514
Rh1 0.5019 0.5019 0.5019


# 3
Computed, not measured: a relaxed CdPtRh crystal at the GGA-PBE level of DFT.

Results
The calculation puts the total magnetization at 1.08 Bohr magnetons per cell. The calculation puts the excess energy over the best structure of this formula in the dataset at 0.95 eV/f.u. The space group is F-43m.

a b c (Å): 4.3803 4.3803 4.3803
angles (deg): 60.00 60.00 60.00
Element x y z (fractional)
Rh1 0.0000 0.0000 0.0000
Cd1 0.5000 0.5000 0.5000
Pt1 0.2500 0.2500 0.2500


# 4
Computed, not measured: a relaxed Cd2PtRh2 crystal at the GGA-PBE level of DFT.

Results
The calculation puts the total magnetization at 0.00 Bohr magnetons per cell. The calculation puts the excess energy over the best structure of this formula in the dataset at 0.00 eV/f.u. The space group is P4/mbm.

a b c (Å): 6.6475 6.6475 4.1023
angles (deg): 90.00 90.00 90.00
Element x y z (fractional)
Rh1 0.1307 0.3693 0.0000
Rh2 0.3693 0.8693 0.0000
Rh3 0.6307 0.1307 0.0000
Rh4 0.8693 0.6307 0.0000
Cd1 0.1725 0.6725 0.5000
Cd2 0.3275 0.1725 0.5000
Cd3 0.6725 0.8275 0.5000
Cd4 0.8275 0.3275 0.5000
Pt1 0.0000 0.0000 0.0000
Pt2 0.5000 0.5000 0.0000


# 5
Computed, not measured: a relaxed CdPt4Rh crystal at the GGA-PBE level of DFT.

Results
The calculation puts the total magnetization at 0.00 Bohr magnetons per cell. The calculation puts the excess energy over the best structure of this formula in the dataset at 0.44 eV/f.u. The space group is Imma.

a b c (Å): 5.3746 7.8173 7.1611
angles (deg): 56.92 67.96 90.00
Element x y z (fractional)
Cd1 0.1548 0.4048 0.1905
Cd2 0.8452 0.5952 0.8095
Pt1 0.2445 0.5000 0.5000
Pt2 0.5000 0.2059 0.0000
Pt3 0.0000 0.2059 0.0000
Pt4 0.7555 0.5000 0.5000
Pt5 0.7555 0.0000 0.5000
Pt6 0.0000 0.7941 0.0000
Pt7 0.5000 0.7941 0.0000
Pt8 0.2445 0.0000 0.5000
Rh1 0.6006 0.8506 0.2988
Rh2 0.3994 0.1494 0.7012


# 6
Computed, not measured: a relaxed Cd2PtRh crystal at the GGA-PBE level of DFT.

Results
The calculation puts the total magnetization at 0.00 Bohr magnetons per cell. The space group is P4/mmm. As for the total energy: -4.003 eV/atom.

a b c (Å): 4.5236 3.3649 4.5236
angles (deg): 90.01 90.00 90.00
Element x y z (fractional)
Rh1 0.5000 0.6250 0.8750
Cd1 0.5000 0.1249 0.3750
Cd2 0.0000 0.1250 0.8750
Pt1 0.0000 0.6250 0.3750


# 7
Computed, not measured: a relaxed CdPtRh2 crystal at the GGA-PBE level of DFT.

Results
The calculation puts the total magnetization at 0.00 Bohr magnetons per cell. The space group is C2/m. As for the total energy: -5.454 eV/atom.

a b c (Å): 4.8381 4.8381 4.9361
angles (deg): 80.77 80.77 33.75
Element x y z (fractional)
Pt1 0.5000 0.5000 0.0000
Rh1 0.7535 0.7535 0.2336
Rh2 0.2465 0.2465 0.7664
Cd1 0.0000 0.0000 0.5000


# 8
Computed, not measured: a relaxed Cd2PtRh crystal at the GGA-PBE level of DFT.

Results
The calculation puts the total magnetization at 0.00 Bohr magnetons per cell. The space group is C2/m. As for the total energy: -3.905 eV/atom.

a b c (Å): 4.8630 4.8630 5.1171
angles (deg): 80.01 80.01 35.40
Element x y z (fractional)
Cd1 0.2487 0.2487 0.7532
Cd2 0.7513 0.7513 0.2468
Pt1 0.0000 0.0000 0.5000
Rh1 0.5000 0.5000 0.0000


# 9
Computed, not measured: a relaxed Cd2PtRh crystal at the GGA-PBE level of DFT.

Results
The calculation puts the total magnetization at 0.91 Bohr magnetons per cell. The space group is R3m. As for the total energy: -3.791 eV/atom.

a b c (Å): 9.6723 9.6723 9.6723
angles (deg): 17.37 17.37 17.37
Element x y z (fractional)
Pt1 0.5042 0.5042 0.5042
Cd1 0.9937 0.9937 0.9937
Cd2 0.7552 0.7552 0.7552
Rh1 0.2469 0.2469 0.2469


# 10
Computed, not measured: a relaxed CdSbPtRh crystal at the GGA-PBE level of DFT.

Results
The calculation puts the total magnetization at 0.00 Bohr magnetons per cell. Its raw formation energy is -18.9 kJ per mole of atoms. The space group is F-43m.

a b c (Å): 4.6520 4.6520 4.6520
angles (deg): 60.00 60.00 60.00
Element x y z (fractional)
Pt1 0.0000 0.0000 0.0000
Cd1 0.2500 0.2500 0.2500
Rh1 0.5000 0.5000 0.5000
Sb1 0.7500 0.7500 0.7500


# 11
Computed, not measured: a relaxed Sc5Cd2PtRh2 crystal at the GGA-PBE level of DFT.

Results
The calculation puts the total magnetization at 0.00 Bohr magnetons per cell. The space group is P4/mbm. As for the total energy: -6.115 eV/atom.

a b c (Å): 3.3182 11.0854 11.0854
angles (deg): 90.00 90.00 90.00
Element x y z (fractional)
Rh1 0.0000 0.6328 0.8672
Rh2 0.0000 0.8672 0.3672
Rh3 0.0000 0.1328 0.6328
Rh4 0.0000 0.3672 0.1328
Cd1 0.0000 0.8273 0.6727
Cd2 0.0000 0.3273 0.8273
Cd3 0.0000 0.1727 0.3273
Cd4 0.0000 0.6727 0.1727
Sc1 0.5000 0.6958 0.4293
Sc2 0.5000 0.0707 0.8042
Sc3 0.5000 0.9293 0.1958
Sc4 0.5000 0.0000 0.5000
Sc5 0.5000 0.5000 0.0000
Sc6 0.5000 0.4293 0.3042
Sc7 0.5000 0.8042 0.9293
Sc8 0.5000 0.3042 0.5707
Sc9 0.5000 0.5707 0.6958
Sc10 0.5000 0.1958 0.0707
Pt1 0.0000 0.0000 0.0000
Pt2 0.0000 0.5000 0.5000


# 12
Computed, not measured: a relaxed SmCdPtRh crystal at the GGA-PBE level of DFT.

Results
The calculation puts the total magnetization at 0.00 Bohr magnetons per cell. The space group is F-43m. As for the total energy: -5.376 eV/atom.

a b c (Å): 4.7999 4.7999 4.7999
angles (deg): 60.00 60.00 60.00
Element x y z (fractional)
Rh1 0.2500 0.2500 0.2500
Pt1 0.7500 0.7500 0.7500
Cd1 0.0000 0.0000 0.0000
Sm1 0.5000 0.5000 0.5000